The following is a PBE calculation of LiY2TlCl8 after structural relaxation, from the Alexandria database.

## Properties
As for the total energy: -55.45 eV per cell. The volume is 373.1 Å³/cell. The value obtained for the spin magnetization is 0.0 μB per formula unit. The space group is No. 10. For the uncorrected formation energy, the calculation gives -1956 meV/atom. The calculation puts the density of states at the Fermi level at 0.0000 states/eV per atom.

The structure in POSCAR format:
```
LiY2TlCl8
1.0
6.8265 0.3648 -0.0051
0.4745 6.6123 -0.0076
0.0072 0.0107 8.2968
Cl Li Y Tl
8 1 2 1
Cartesian
2.4925 2.0966 -0.0037 Cl
5.6572 1.8369 6.5384 Cl
1.6511 5.1509 1.7456 Cl
4.7156 4.8108 4.1393 Cl
1.6557 5.1576 6.5377 Cl
5.6526 1.8302 1.7464 Cl
4.8157 4.8911 8.2877 Cl
2.5926 2.1770 4.1447 Cl
0.0000 0.0000 0.0000 Li
3.6560 3.4967 6.2902 Y
3.6522 3.4911 1.9938 Y
0.0036 0.0054 4.1484 Tl
```